ScSnAu2 | PBE | relaxed

Geometry as POSCAR:
```
ScSnAu2
1.0
4.2224 0.0000 0.0000
0.0000 4.2224 0.0000
0.0000 0.0000 19.6668
Sc Sn Au
4 4 8
direct
0.0000 0.0000 0.0000
0.0000 0.5000 0.2500
0.5000 0.0000 0.7500
0.5000 0.5000 0.5000
0.0000 0.0000 0.5000
0.0000 0.5000 0.7500
0.5000 0.0000 0.2500
0.5000 0.5000 0.0000
0.2490 0.2500 0.1250
0.2500 0.7490 0.3750
0.2500 0.7510 0.8750
0.2510 0.2500 0.6250
0.7490 0.7500 0.6250
0.7500 0.2490 0.8750
0.7500 0.2510 0.3750
0.7510 0.7500 0.1250
```

* E: -4.525 eV/atom
* ΔE_f: -303 meV/atom


TiCrPd14 | PBE | relaxed

Geometry as POSCAR:
```
TiCrPd14
1.0
5.5726 0.0000 0.0000
0.0000 5.5726 0.0000
0.0000 0.0000 7.8354
Ti Cr Pd
1 1 14
direct
0.0000 0.0000 0.0000
0.5000 0.5000 0.0000
0.0000 0.0000 0.5000
0.0000 0.5000 0.0000
0.0000 0.5000 0.5000
0.2493 0.2493 0.2426
0.2493 0.2493 0.7574
0.2493 0.7507 0.2426
0.2493 0.7507 0.7574
0.5000 0.0000 0.0000
0.5000 0.0000 0.5000
0.5000 0.5000 0.5000
0.7507 0.2493 0.2426
0.7507 0.2493 0.7574
0.7507 0.7507 0.2426
0.7507 0.7507 0.7574
```

* E: -5.833 eV/atom
* ΔE_f: -194 meV/atom


Ca3Al6Pt5 | PBE | relaxed

Geometry as POSCAR:
```
Ca3Al6Pt5
1.0
4.2250 0.0000 0.0000
0.0000 12.8791 0.0000
0.0000 0.0000 9.5075
Ca Al Pt
6 12 10
direct
0.2500 0.0552 0.2485
0.2500 0.4448 0.2485
0.2500 0.7500 0.2660
0.7500 0.2500 0.7340
0.7500 0.5552 0.7515
0.7500 0.9448 0.7515
0.2500 0.0652 0.5842
0.2500 0.2500 0.0322
0.2500 0.2500 0.4200
0.2500 0.4348 0.5842
0.2500 0.5939 0.9847
0.2500 0.9061 0.9847
0.7500 0.0939 0.0153
0.7500 0.4061 0.0153
0.7500 0.5652 0.4158
0.7500 0.7500 0.5800
0.7500 0.7500 0.9678
0.7500 0.9348 0.4158
0.2500 0.0914 0.8666
0.2500 0.4086 0.8666
0.2500 0.6337 0.5411
0.2500 0.7500 0.8101
0.2500 0.8663 0.5411
0.7500 0.1337 0.4589
0.7500 0.2500 0.1899
0.7500 0.3663 0.4589
0.7500 0.5914 0.1334
0.7500 0.9086 0.1334
```

* E: -5.175 eV/atom
* ΔE_f: -985 meV/atom


Cd4CoS5 | PBE | relaxed

Geometry as POSCAR:
```
Cd4CoS5
1.0
7.5970 -2.0389 0.0000
7.5970 2.0389 0.0000
-0.7260 0.0000 15.6926
Cd Co S
8 2 10
direct
0.0000 0.0000 0.0000
0.1340 0.1340 0.2196
0.2058 0.2058 0.5723
0.3343 0.3343 0.8177
0.5283 0.5283 0.4084
0.6021 0.6021 0.7871
0.7397 0.7397 0.0247
0.9343 0.9343 0.6121
0.3984 0.3984 0.1950
0.8029 0.8029 0.3749
0.0512 0.0512 0.5029
0.1862 0.1862 0.7352
0.2643 0.2643 0.1202
0.3720 0.3720 0.3370
0.4513 0.4513 0.7079
0.5866 0.5866 0.9504
0.6627 0.6627 0.3145
0.7903 0.7903 0.5205
0.8540 0.8540 0.9125
0.9712 0.9712 0.1612
```

* formation energy without anion corrections: -0.4916 eV/atom
* E: -3.632 eV/atom


K2TlAg | PBE | relaxed

Geometry as POSCAR:
```
K2TlAg
1.0
4.0283 0.0000 0.0000
0.0000 4.0283 0.0000
0.0000 0.0000 9.7503
K Tl Ag
2 1 1
direct
0.0000 0.0000 0.0000
0.5000 0.5000 0.3973
0.0000 0.0000 0.6425
0.5000 0.5000 0.7561
```

* excess energy over the best structure of this formula in the dataset: 0.0391 eV per atom
* E: -1.844 eV/atom
* ΔE_f: 9 meV/atom


CeMgCl6 | PBE | relaxed

Geometry as POSCAR:
```
CeMgCl6
1.0
6.4463 0.0000 0.0000
0.0000 12.3515 0.0000
-1.8879 0.0000 6.1617
Ce Mg Cl
2 2 12
direct
0.0000 0.0000 0.0000
0.5000 0.5000 0.0000
0.0000 0.5000 0.5000
0.5000 0.0000 0.5000
0.2369 0.3594 0.7376
0.2369 0.6406 0.7376
0.2478 0.5000 0.2527
0.2522 0.0000 0.7473
0.2631 0.1406 0.2624
0.2631 0.8594 0.2624
0.7369 0.1406 0.7376
0.7369 0.8594 0.7376
0.7478 0.0000 0.2527
0.7522 0.5000 0.7473
0.7631 0.3594 0.2624
0.7631 0.6406 0.2624
```

* formation energy without anion corrections: -1.8700 eV/atom
* excess energy over the best structure of this formula in the dataset: 0.0000 eV per atom
* E: -4.196 eV/atom


LaIrRu2 | PBE | relaxed

Geometry as POSCAR:
```
LaIrRu2
1.0
4.1745 0.0000 0.0000
0.0000 4.1745 0.0000
0.0000 0.0000 8.0970
La Ir Ru
2 2 4
direct
0.0000 0.0000 0.0000
0.5000 0.5000 0.5000
0.0000 0.0000 0.5000
0.5000 0.5000 0.0000
0.0000 0.5000 0.2500
0.0000 0.5000 0.7500
0.5000 0.0000 0.2500
0.5000 0.0000 0.7500
```

* excess energy over the best structure of this formula in the dataset: 0.1268 eV per atom
* E: -7.818 eV/atom
* ΔE_f: 267 meV/atom


LaPu4Te5 | PBE | relaxed

Geometry as POSCAR:
```
LaPu4Te5
1.0
-2.2322 3.1627 11.1821
2.2322 -3.1627 11.1821
2.2322 3.1627 -11.1821
La Pu Te
1 4 5
direct
0.0000 0.0000 0.0000
0.2021 0.2021 0.0000
0.4005 0.4005 0.0000
0.5995 0.5995 0.0000
0.7979 0.7979 0.0000
0.1042 0.6042 0.5000
0.3012 0.8012 0.5000
0.5000 0.0000 0.5000
0.6988 0.1988 0.5000
0.8958 0.3958 0.5000
```

* formation energy without anion corrections: -1.1861 eV/atom
* E: -8.982 eV/atom


BaTlPt3 | PBE | relaxed

Geometry as POSCAR:
```
BaTlPt3
1.0
3.0519 1.7620 6.8353
-3.0519 1.7620 6.8353
0.0000 -3.5241 6.8353
Ba Tl Pt
2 2 6
direct
0.0875 0.0875 0.0875
0.9125 0.9125 0.9125
0.3316 0.3316 0.3316
0.6684 0.6684 0.6684
0.1138 0.6097 0.6097
0.3903 0.3903 0.8862
0.3903 0.8862 0.3903
0.6097 0.1138 0.6097
0.6097 0.6097 0.1138
0.8862 0.3903 0.3903
```

* excess energy over the best structure of this formula in the dataset: 0.0000 eV per atom
* E: -4.796 eV/atom
* ΔE_f: -313 meV/atom


RbSe3Br | PBE | relaxed

Geometry as POSCAR:
```
RbSe3Br
1.0
5.3900 0.0000 0.0000
0.0000 5.3900 0.0000
0.0000 0.0000 5.3900
Rb Se Br
1 3 1
direct
0.0000 0.0000 0.0000
0.0000 0.5000 0.5000
0.5000 0.0000 0.5000
0.5000 0.5000 0.0000
0.5000 0.5000 0.5000
```

* formation energy without anion corrections: 0.1712 eV/atom
* excess energy over the best structure of this formula in the dataset: 0.0000 eV per atom
* E: -2.448 eV/atom


AlIn4Ru | PBE | relaxed

Geometry as POSCAR:
```
AlIn4Ru
1.0
0.0000 4.0985 4.0985
4.0985 0.0000 4.0985
4.0985 4.0985 0.0000
Al In Ru
1 4 1
direct
0.0000 0.0000 0.0000
0.1263 0.6246 0.6246
0.6246 0.1263 0.6246
0.6246 0.6246 0.1263
0.6246 0.6246 0.6246
0.2500 0.2500 0.2500
```

* E: -3.330 eV/atom
* ΔE_f: 666 meV/atom


BaPt2Au | PBE | relaxed

Geometry as POSCAR:
```
BaPt2Au
1.0
4.6557 0.0000 0.0000
0.0000 4.5745 0.0000
-0.0140 0.0000 5.2466
Ba Pt Au
1 2 1
direct
0.0000 0.0000 0.0000
0.4999 0.0000 0.5440
0.4999 0.5000 0.7730
0.5006 0.5000 0.2670
```

* excess energy over the best structure of this formula in the dataset: 0.1184 eV per atom
* E: -4.751 eV/atom
* ΔE_f: -430 meV/atom


Li3Ce3MnS8 | PBE | relaxed

Geometry as POSCAR:
```
Li3Ce3MnS8
1.0
3.9470 2.2788 6.0801
-3.9470 2.2788 6.0801
0.0000 -4.5576 6.0801
Li Ce Mn S
3 3 1 8
direct
0.0000 0.5000 0.5000
0.5000 0.0000 0.5000
0.5000 0.5000 0.0000
0.0000 0.0000 0.5000
0.0000 0.5000 0.0000
0.5000 0.0000 0.0000
0.5000 0.5000 0.5000
0.2535 0.2535 0.2535
0.2651 0.2651 0.7318
0.2651 0.7318 0.2651
0.2682 0.7349 0.7349
0.7318 0.2651 0.2651
0.7349 0.2682 0.7349
0.7349 0.7349 0.2682
0.7465 0.7465 0.7465
```

* formation energy without anion corrections: -1.4980 eV/atom
* E: -5.880 eV/atom